[1]
Here is a relaxed K2LaTeIr crystal from the Alexandria database. Energies are from PBE.

Structure (CIF):
```
data_K2LaTeIr
_space_group_name_H-M_alt 'P 4/m m m'
_space_group_IT_number 123
_space_group_name_Hall '-P 4 2'
_cell_length_a 6.8189
_cell_length_b 6.8189
_cell_length_c 4.8748
_cell_angle_alpha 90.00
_cell_angle_beta 90.00
_cell_angle_gamma 90.00
loop_
_atom_site_label
_atom_site_fract_x
_atom_site_fract_y
_atom_site_fract_z
K1 0.0000 0.5000 0.0000
La1 0.0000 0.0000 0.0000
Te1 0.5000 0.5000 0.5000
Ir1 0.0000 0.0000 0.5000
```

Raw formation energy ... 0.3601 eV/atom
Magnetization ... 0.0 μB/f.u.
Crystal system ... tetragonal
Electronic total energy ... -3.465 eV per atom
N(E_F) ... 0.1478 states/eV per atom

***

[2]
Here is a relaxed SmIn4Cl6 crystal from the Alexandria database. Energies are from PBE.

Structure (CIF):
```
data_SmIn4Cl6
_space_group_name_H-M_alt 'P 4/m n c'
_space_group_IT_number 128
_space_group_name_Hall '-P 4 2n'
_cell_length_a 8.4144
_cell_length_b 8.4144
_cell_length_c 10.8786
_cell_angle_alpha 90.00
_cell_angle_beta 90.00
_cell_angle_gamma 90.00
loop_
_atom_site_label
_atom_site_fract_x
_atom_site_fract_y
_atom_site_fract_z
Sm1 0.0000 0.0000 0.0000
In1 0.1519 0.3481 0.2500
Cl1 0.0000 0.0000 0.2509
Cl2 0.1929 0.7423 0.0000
```

Raw formation energy ... -1.1505 eV/atom
Magnetization ... 0.0 μB/f.u.
Crystal system ... tetragonal
Electronic total energy ... -3.583 eV per atom
N(E_F) ... 0.2589 states/eV per atom

***

[3]
Here is a relaxed Rb3LiAg2Cl9 crystal from the Alexandria database. Energies are from PBE.

Structure (CIF):
```
data_Rb3LiAg2Cl9
_space_group_name_H-M_alt 'P -3 m 1'
_space_group_IT_number 164
_space_group_name_Hall '-P 3 2"'
_cell_length_a 7.2144
_cell_length_b 7.2144
_cell_length_c 8.8601
_cell_angle_alpha 90.00
_cell_angle_beta 90.00
_cell_angle_gamma 120.00
loop_
_atom_site_label
_atom_site_fract_x
_atom_site_fract_y
_atom_site_fract_z
Rb1 0.0000 0.0000 0.0000
Rb2 0.3333 0.6667 0.6522
Li1 0.0000 0.0000 0.5000
Ag1 0.3333 0.6667 0.1676
Cl1 0.0000 0.5000 0.0000
Cl2 0.1654 0.3309 0.3270
```

Raw formation energy ... -1.1688 eV/atom
Magnetization ... 0.0 μB/f.u.
Crystal system ... trigonal
Electronic total energy ... -2.978 eV per atom
N(E_F) ... 0.2380 states/eV per atom

***

[4]
Here is a relaxed Tb3Pm4Cd crystal from the Alexandria database. Energies are from PBE.

Structure (CIF):
```
data_Tb3Pm4Cd
_space_group_name_H-M_alt 'P 4/m m m'
_space_group_IT_number 123
_space_group_name_Hall '-P 4 2'
_cell_length_a 4.1262
_cell_length_b 4.1262
_cell_length_c 14.9689
_cell_angle_alpha 90.00
_cell_angle_beta 90.00
_cell_angle_gamma 90.00
loop_
_atom_site_label
_atom_site_fract_x
_atom_site_fract_y
_atom_site_fract_z
Tb1 0.0000 0.0000 0.0000
Tb2 0.0000 0.0000 0.2496
Pm1 0.5000 0.5000 0.1234
Pm2 0.5000 0.5000 0.3847
Cd1 0.0000 0.0000 0.5000
```

Magnetization ... 0.0 μB/f.u.
Crystal system ... tetragonal
Electronic total energy ... -4.203 eV per atom
Formation energy from the elements ... 0.023 eV per atom
N(E_F) ... 1.7883 states/eV per atom

***

[5]
Here is a relaxed LiCePaPt crystal from the Alexandria database. Energies are from PBE.

Structure (CIF):
```
data_LiCePaPt
_space_group_name_H-M_alt 'F -4 3 m'
_space_group_IT_number 216
_space_group_name_Hall 'F -4 2 3'
_cell_length_a 6.8381
_cell_length_b 6.8381
_cell_length_c 6.8381
_cell_angle_alpha 90.00
_cell_angle_beta 90.00
_cell_angle_gamma 90.00
loop_
_atom_site_label
_atom_site_fract_x
_atom_site_fract_y
_atom_site_fract_z
Li1 0.0000 0.0000 0.0000
Ce1 0.2500 0.2500 0.2500
Pa1 0.0000 0.0000 0.5000
Pt1 0.2500 0.2500 0.7500
```

Magnetization ... 2.1 μB/f.u.
Crystal system ... cubic
Electronic total energy ... -6.248 eV per atom
Formation energy from the elements ... -0.402 eV per atom
N(E_F) ... 1.8376 states/eV per atom

***

[6]
Here is a relaxed Cd2CuRu crystal from the Alexandria database. Energies are from PBE.

Structure (CIF):
```
data_Cd2CuRu
_space_group_name_H-M_alt 'P 4/m m m'
_space_group_IT_number 123
_space_group_name_Hall '-P 4 2'
_cell_length_a 4.2810
_cell_length_b 4.2810
_cell_length_c 3.6299
_cell_angle_alpha 90.00
_cell_angle_beta 90.00
_cell_angle_gamma 90.00
loop_
_atom_site_label
_atom_site_fract_x
_atom_site_fract_y
_atom_site_fract_z
Cd1 0.0000 0.5000 0.0000
Cu1 0.0000 0.0000 0.5000
Ru1 0.5000 0.5000 0.5000
```

Magnetization ... 0.0 μB/f.u.
Crystal system ... tetragonal
Electronic total energy ... -3.592 eV per atom
Formation energy from the elements ... 0.209 eV per atom
N(E_F) ... 0.6241 states/eV per atom
Energy above the most stable polymorph in this dataset ... 0.0 meV/atom

***

[7]
Here is a relaxed LiTiSi3 crystal from the Alexandria database. Energies are from PBE.

Structure (CIF):
```
data_LiTiSi3
_space_group_name_H-M_alt 'P m -3 m'
_space_group_IT_number 221
_space_group_name_Hall '-P 4 2 3'
_cell_length_a 4.2731
_cell_length_b 4.2731
_cell_length_c 4.2731
_cell_angle_alpha 90.00
_cell_angle_beta 90.00
_cell_angle_gamma 90.00
loop_
_atom_site_label
_atom_site_fract_x
_atom_site_fract_y
_atom_site_fract_z
Li1 0.0000 0.0000 0.0000
Ti1 0.5000 0.5000 0.5000
Si1 0.0000 0.0000 0.5000
```

Raw formation energy ... 0.7151 eV/atom
Magnetization ... 0.0 μB/f.u.
Crystal system ... cubic
Electronic total energy ... -4.500 eV per atom
N(E_F) ... 0.8919 states/eV per atom
Energy above the most stable polymorph in this dataset ... 373.0 meV/atom

***

[8]
Here is a relaxed AcAuSe crystal from the Alexandria database. Energies are from PBE.

Structure (CIF):
```
data_AcAuSe
_space_group_name_H-M_alt 'F -4 3 m'
_space_group_IT_number 216
_space_group_name_Hall 'F -4 2 3'
_cell_length_a 7.3536
_cell_length_b 7.3536
_cell_length_c 7.3536
_cell_angle_alpha 90.00
_cell_angle_beta 90.00
_cell_angle_gamma 90.00
loop_
_atom_site_label
_atom_site_fract_x
_atom_site_fract_y
_atom_site_fract_z
Ac1 0.0000 0.0000 0.0000
Au1 0.2500 0.2500 0.2500
Se1 0.2500 0.2500 0.7500
```

Raw formation energy ... -1.2379 eV/atom
Magnetization ... 0.0 μB/f.u.
Crystal system ... cubic
Electronic total energy ... -4.861 eV per atom
N(E_F) ... 0.0000 states/eV per atom
Energy above the most stable polymorph in this dataset ... 0.0 meV/atom

***

[9]
Here is a relaxed ThTlCuHg crystal from the Alexandria database. Energies are from PBE.

Structure (CIF):
```
data_ThTlCuHg
_space_group_name_H-M_alt 'F -4 3 m'
_space_group_IT_number 216
_space_group_name_Hall 'F -4 2 3'
_cell_length_a 7.2337
_cell_length_b 7.2337
_cell_length_c 7.2337
_cell_angle_alpha 90.00
_cell_angle_beta 90.00
_cell_angle_gamma 90.00
loop_
_atom_site_label
_atom_site_fract_x
_atom_site_fract_y
_atom_site_fract_z
Th1 0.0000 0.0000 0.0000
Tl1 0.0000 0.0000 0.5000
Cu1 0.2500 0.2500 0.7500
Hg1 0.2500 0.2500 0.2500
```

Magnetization ... 0.0 μB/f.u.
Crystal system ... cubic
Electronic total energy ... -3.594 eV per atom
Formation energy from the elements ... -0.048 eV per atom
N(E_F) ... 0.4454 states/eV per atom

***

[10]
Here is a relaxed SrNdTc2O8 crystal from the Alexandria database. Energies are from PBE.

Structure (CIF):
```
data_SrNdTc2O8
_space_group_name_H-M_alt 'P -3 m 1'
_space_group_IT_number 164
_space_group_name_Hall '-P 3 2"'
_cell_length_a 5.9690
_cell_length_b 5.9690
_cell_length_c 7.3273
_cell_angle_alpha 90.00
_cell_angle_beta 90.00
_cell_angle_gamma 120.00
loop_
_atom_site_label
_atom_site_fract_x
_atom_site_fract_y
_atom_site_fract_z
Sr1 0.0000 0.0000 0.0000
Nd1 0.0000 0.0000 0.5000
Tc1 0.3333 0.6667 0.8008
O1 0.1651 0.3301 0.7221
O2 0.3333 0.6667 0.0415
```

Raw formation energy ... -2.0136 eV/atom
Magnetization ... 3.0 μB/f.u.
Crystal system ... trigonal
Electronic total energy ... -7.584 eV per atom
N(E_F) ... 0.7216 states/eV per atom

***

[11]
Here is a relaxed K2Ba10Pt3 crystal from the Alexandria database. Energies are from PBE.

Structure (CIF):
```
data_K2Ba10Pt3
_space_group_name_H-M_alt 'C 1 2/m 1'
_space_group_IT_number 12
_cell_length_a 30.5678
_cell_length_b 9.2185
_cell_length_c 12.4606
_cell_angle_alpha 90.00
_cell_angle_beta 111.99
_cell_angle_gamma 90.00
loop_
_space_group_symop_operation_xyz
'x,y,z'
'-x,-y,-z'
'-x,y,-z'
'x,-y,z'
'x+1/2,y+1/2,z'
'-x+1/2,-y+1/2,-z'
'-x+1/2,y+1/2,-z'
'x+1/2,-y+1/2,z'
loop_
_atom_site_label
_atom_site_fract_x
_atom_site_fract_y
_atom_site_fract_z
K1 0.1227 0.0000 0.2434
K2 0.2323 0.0000 0.8080
Ba1 0.0000 0.2717 0.0000
Ba2 0.0147 0.0000 0.6793
Ba3 0.0170 0.5000 0.6910
Ba4 0.1097 0.2590 0.5466
Ba5 0.1285 0.5000 0.2481
Ba6 0.1380 0.2600 0.9458
Ba7 0.2335 0.5000 0.7878
Ba8 0.2500 0.2500 0.5000
Pt1 0.0000 0.2509 0.5000
Pt2 0.0727 0.5000 0.9739
Pt3 0.1809 0.5000 0.5229
```

Magnetization ... 0.0 μB/f.u.
Crystal system ... monoclinic
Electronic total energy ... -3.023 eV per atom
Formation energy from the elements ... -0.386 eV per atom
N(E_F) ... 0.8239 states/eV per atom

***

[12]
Here is a relaxed Gd2ThSn crystal from the Alexandria database. Energies are from PBE.

Structure (CIF):
```
data_Gd2ThSn
_space_group_name_H-M_alt 'P 4/m m m'
_space_group_IT_number 123
_space_group_name_Hall '-P 4 2'
_cell_length_a 3.9791
_cell_length_b 3.9791
_cell_length_c 7.4291
_cell_angle_alpha 90.00
_cell_angle_beta 90.00
_cell_angle_gamma 90.00
loop_
_atom_site_label
_atom_site_fract_x
_atom_site_fract_y
_atom_site_fract_z
Gd1 0.0000 0.0000 0.2204
Th1 0.5000 0.5000 0.5000
Sn1 0.5000 0.5000 0.0000
```

Magnetization ... 15.0 μB/f.u.
Crystal system ... tetragonal
Electronic total energy ... -10.212 eV per atom
Formation energy from the elements ... -0.316 eV per atom
N(E_F) ... 1.3781 states/eV per atom
Energy above the most stable polymorph in this dataset ... 61.7 meV/atom

***

Which of these has the highest N(E_F)?
LiCePaPt

***

What did the sixth record say?
Here is a relaxed Cd2CuRu crystal from the Alexandria database. Energies are from PBE.

Structure (CIF):
```
data_Cd2CuRu
_space_group_name_H-M_alt 'P 4/m m m'
_space_group_IT_number 123
_space_group_name_Hall '-P 4 2'
_cell_length_a 4.2810
_cell_length_b 4.2810
_cell_length_c 3.6299
_cell_angle_alpha 90.00
_cell_angle_beta 90.00
_cell_angle_gamma 90.00
loop_
_atom_site_label
_atom_site_fract_x
_atom_site_fract_y
_atom_site_fract_z
Cd1 0.0000 0.5000 0.0000
Cu1 0.0000 0.0000 0.5000
Ru1 0.5000 0.5000 0.5000
```

Magnetization ... 0.0 μB/f.u.
Crystal system ... tetragonal
Electronic total energy ... -3.592 eV per atom
Formation energy from the elements ... 0.209 eV per atom
N(E_F) ... 0.6241 states/eV per atom
Energy above the most stable polymorph in this dataset ... 0.0 meV/atom

***

Which of these has the highest electronic total energy?
Rb3LiAg2Cl9